[1]
Compound: Nd3ErMg4
Source: Alexandria
Functional: GGA-PBE
Structure: optimized geometry

* total energy: -3.254 eV/atom
* energy of formation: -0.8 eV/f.u.
* magnetic moment: 0.000 μB per atom

a = 3.875 Å, b = 5.434 Å, c = 10.887 Å
α = 90.00°, β = 90.00°, γ = 90.00°
Sites, in units of the cell vectors:
Er: 0.500 0.500 0.000
Nd: 0.500 0.000 0.248
Nd: 0.500 0.500 0.500
Nd: 0.500 0.000 0.752
Mg: 0.000 0.000 0.000
Mg: 0.000 0.500 0.756
Mg: 0.000 0.500 0.244
Mg: 0.000 0.000 0.500

---

[2]
Compound: Nd12Er5Mg2
Source: Alexandria
Functional: GGA-PBE
Structure: optimized geometry

* total energy: -4.289 eV/atom
* energy of formation: 1.7 eV/f.u.
* magnetic moment: 0.000 μB per atom

a = 9.230 Å, b = 9.155 Å, c = 8.612 Å
α = 92.10°, β = 90.00°, γ = 120.27°
Sites, in units of the cell vectors:
Nd: 0.334 0.299 0.235
Nd: 0.666 0.701 0.765
Nd: 0.035 0.701 0.765
Nd: 0.919 0.838 0.119
Nd: 0.081 0.162 0.881
Nd: 0.178 0.746 0.321
Nd: 0.560 0.121 0.340
Nd: 0.822 0.254 0.679
Nd: 0.440 0.879 0.660
Nd: 0.965 0.299 0.235
Nd: 0.568 0.746 0.321
Nd: 0.432 0.254 0.679
Er: 0.298 0.596 0.974
Er: 0.231 0.463 0.572
Er: 0.000 0.000 0.500
Er: 0.769 0.537 0.428
Er: 0.702 0.404 0.026
Mg: 0.336 0.000 0.000
Mg: 0.664 0.000 0.000

---

[3]
Compound: Nd2ErMg
Source: Alexandria
Functional: GGA-PBE
Structure: optimized geometry

* total energy: -3.882 eV/atom
* energy of formation: 0.2 eV/f.u.
* polymorph energy (0 for the lowest one): 0.0699 eV per atom
* magnetic moment: 0.000 μB per atom

a = 3.558 Å, b = 3.558 Å, c = 11.709 Å
α = 81.32°, β = 81.32°, γ = 60.02°
Sites, in units of the cell vectors:
Nd: 0.249 0.249 0.253
Nd: 0.084 0.084 0.747
Er: 0.667 0.667 0.999
Mg: 0.500 0.500 0.500

---

[4]
Compound: Nd2Er6Mg
Source: Alexandria
Functional: GGA-PBE
Structure: optimized geometry

* total energy: -4.250 eV/atom
* energy of formation: 0.3 eV/f.u.
* polymorph energy (0 for the lowest one): 0.0000 eV per atom
* magnetic moment: 0.000 μB per atom

a = 5.010 Å, b = 10.526 Å, c = 10.526 Å
α = 90.00°, β = 90.00°, γ = 90.00°
Sites, in units of the cell vectors:
Er: 0.500 0.501 0.665
Er: 0.000 0.665 0.499
Er: 0.000 0.999 0.165
Er: 0.500 0.499 0.335
Er: 0.500 0.169 0.669
Er: 0.000 0.331 0.168
Er: 0.000 0.001 0.835
Er: 0.500 0.165 0.001
Er: 0.000 0.669 0.832
Er: 0.500 0.835 0.999
Er: 0.000 0.335 0.501
Er: 0.500 0.831 0.331
Mg: 0.000 0.000 0.500
Mg: 0.500 0.500 0.000
Nd: 0.500 0.836 0.665
Nd: 0.000 0.336 0.836
Nd: 0.500 0.164 0.335
Nd: 0.000 0.664 0.164

---

[5]
Compound: Nd5ErMg4
Source: Alexandria
Functional: GGA-PBE
Structure: optimized geometry

* total energy: -3.553 eV/atom
* energy of formation: -0.8 eV/f.u.
* magnetic moment: 0.000 μB per atom

a = 3.835 Å, b = 3.835 Å, c = 20.516 Å
α = 90.00°, β = 90.00°, γ = 90.00°
Sites, in units of the cell vectors:
Nd: 0.500 0.500 0.885
Nd: 0.500 0.500 0.308
Nd: 0.500 0.500 0.115
Nd: 0.500 0.500 0.692
Nd: 0.500 0.500 0.500
Mg: 0.000 0.000 0.211
Mg: 0.000 0.000 0.404
Mg: 0.000 0.000 0.789
Mg: 0.000 0.000 0.596
Er: 0.000 0.000 0.000

---

[6]
Compound: NdEr2Mg
Source: Alexandria
Functional: GGA-PBE
Structure: optimized geometry

* total energy: -3.819 eV/atom
* energy of formation: 0.2 eV/f.u.
* polymorph energy (0 for the lowest one): 0.0810 eV per atom
* magnetic moment: 0.000 μB per atom

a = 3.519 Å, b = 3.519 Å, c = 11.510 Å
α = 81.12°, β = 81.12°, γ = 59.89°
Sites, in units of the cell vectors:
Er: 0.247 0.247 0.258
Er: 0.086 0.086 0.742
Nd: 0.667 0.667 0.999
Mg: 0.499 0.499 0.500

---

[7]
Compound: Nd8Er4Mg
Source: Alexandria
Functional: GGA-PBE
Structure: optimized geometry

* total energy: -4.295 eV/atom
* energy of formation: 2.2 eV/f.u.
* magnetic moment: 0.000 μB per atom

a = 7.170 Å, b = 7.170 Å, c = 10.864 Å
α = 90.00°, β = 109.27°, γ = 120.00°
Sites, in units of the cell vectors:
Nd: 0.976 0.745 0.721
Nd: 0.510 0.255 0.279
Nd: 0.976 0.231 0.721
Nd: 0.442 0.221 0.664
Nd: 0.024 0.769 0.279
Nd: 0.558 0.779 0.336
Nd: 0.490 0.745 0.721
Nd: 0.024 0.255 0.279
Er: 0.500 0.000 0.000
Er: 0.000 0.000 0.000
Er: 0.500 0.500 0.000
Er: 0.000 0.500 0.000
Mg: 0.000 0.500 0.500

---

[8]
Compound: Nd2ErMg3
Source: Alexandria
Functional: GGA-PBE
Structure: optimized geometry

* total energy: -3.240 eV/atom
* energy of formation: -0.6 eV/f.u.
* magnetic moment: 0.000 μB per atom

a = 3.836 Å, b = 3.836 Å, c = 11.590 Å
α = 90.00°, β = 90.00°, γ = 90.00°
Sites, in units of the cell vectors:
Mg: 0.000 0.000 0.000
Mg: 0.000 0.000 0.657
Mg: 0.000 0.000 0.343
Nd: 0.500 0.500 0.172
Nd: 0.500 0.500 0.828
Er: 0.500 0.500 0.500

---

- Among the records above, which one has the highest energy of formation?
  Nd8Er4Mg